Entry from OQMD via LeMat-Bulk: a geometry-optimized Nd4Hg5Ir2 structure (PBE).

V: 285.6 Å³/cell
Total magnetic moment: 0.01 Bohr magnetons per cell
Energy: -43.92 eV/f.u.

Cell lengths 7.8085, 3.7823, 9.7045 Å; angles 90.00, 94.75, 90.00 degrees
Fractional coordinates of all 11 atoms:
Nd 0.1814 0.0000 0.3491
Nd 0.2196 0.0000 0.9396
Nd 0.7804 0.0000 0.0604
Nd 0.8186 0.0000 0.6509
Hg 0.1693 0.5000 0.6444
Hg 0.4564 0.5000 0.1704
Hg 0.5000 0.5000 0.5000
Hg 0.5436 0.5000 0.8296
Hg 0.8307 0.5000 0.3556
Ir 0.0767 0.5000 0.1397
Ir 0.9233 0.5000 0.8603

Entry from OQMD via LeMat-Bulk: a geometry-optimized CsKCuAs structure (PBE).

V: 255.0 Å³/cell
Offset from the most stable computed form: 0 meV per atom

Cell lengths 6.3381, 6.1264, 6.9513 Å; angles 90.00, 109.17, 90.00 degrees
Fractional coordinates of all 8 atoms:
Cs 0.0443 0.2500 0.1763
Cs 0.9557 0.7500 0.8237
K 0.3103 0.7500 0.5110
K 0.6897 0.2500 0.4890
Cu 0.5000 0.0000 0.0000
Cu 0.5000 0.5000 0.0000
As 0.3025 0.2500 0.7477
As 0.6975 0.7500 0.2523

Entry from OQMD via LeMat-Bulk: a geometry-optimized NbTl2Ge structure (PBE).

V: 362.1 Å³/cell
Total magnetic moment: 5.11 Bohr magnetons per cell
Energy: -16.68 eV/f.u.

Cell lengths 7.1274, 7.1274, 7.1274 Å; angles 90.00, 90.00, 90.00 degrees
Fractional coordinates of all 16 atoms:
Nb 0.0000 0.0000 0.0000
Nb 0.0000 0.5000 0.5000
Nb 0.5000 0.0000 0.5000
Nb 0.5000 0.5000 0.0000
Tl 0.0000 0.0000 0.5000
Tl 0.0000 0.5000 0.0000
Tl 0.2500 0.2500 0.7500
Tl 0.2500 0.7500 0.2500
Tl 0.5000 0.0000 0.0000
Tl 0.5000 0.5000 0.5000
Tl 0.7500 0.2500 0.2500
Tl 0.7500 0.7500 0.7500
Ge 0.2500 0.2500 0.2500
Ge 0.2500 0.7500 0.7500
Ge 0.7500 0.2500 0.7500
Ge 0.7500 0.7500 0.2500

Entry from OQMD via LeMat-Bulk: a geometry-optimized GdY2In3PdPt2 structure (PBE).

V: 199.2 Å³/cell
Total magnetic moment: 0.01 Bohr magnetons per cell
Energy: -51.71 eV/f.u.

Cell lengths 3.8482, 7.7314, 7.7314 Å; angles 120.03, 90.00, 90.00 degrees
Fractional coordinates of all 9 atoms:
Gd 0.0000 0.0000 0.0000
Y 0.0000 0.4112 0.8210
Y 0.0000 0.8210 0.4112
In 0.5000 0.1527 0.4124
In 0.5000 0.4124 0.1527
In 0.5000 0.6669 0.6669
Pd 0.0000 0.4095 0.4095
Pt 0.5000 0.0773 0.7450
Pt 0.5000 0.7450 0.0773

Entry from OQMD via LeMat-Bulk: a geometry-optimized CsCoBiTe3 structure (PBE).

V: 452.0 Å³/cell
Total magnetic moment: 6.01 Bohr magnetons per cell
Energy: -23.24 eV/f.u.

Cell lengths 8.6530, 8.6530, 12.0706 Å; angles 90.00, 90.00, 149.99 degrees
Fractional coordinates of all 12 atoms:
Cs 0.2392 0.7608 0.7500
Cs 0.7608 0.2392 0.2500
Co 0.0394 0.9606 0.2500
Co 0.9606 0.0394 0.7500
Bi 0.5000 0.5000 0.0000
Bi 0.5000 0.5000 0.5000
Te 0.1238 0.8762 0.0674
Te 0.1238 0.8762 0.4326
Te 0.4513 0.5487 0.2500
Te 0.5487 0.4513 0.7500
Te 0.8762 0.1238 0.5674
Te 0.8762 0.1238 0.9326

Entry from OQMD via LeMat-Bulk: a geometry-optimized NaHfCo structure (PBE).

V: 233.8 Å³/cell
Total magnetic moment: 0.00 Bohr magnetons per cell
Offset from the most stable computed form: 0 meV per atom

Cell lengths 6.1601, 6.1601, 6.1601 Å; angles 90.00, 90.00, 90.00 degrees
Fractional coordinates of all 12 atoms:
Na 0.0000 0.0000 0.0000
Na 0.0000 0.5000 0.5000
Na 0.5000 0.0000 0.5000
Na 0.5000 0.5000 0.0000
Hf 0.0000 0.0000 0.5000
Hf 0.0000 0.5000 0.0000
Hf 0.5000 0.0000 0.0000
Hf 0.5000 0.5000 0.5000
Co 0.2500 0.2500 0.7500
Co 0.2500 0.7500 0.2500
Co 0.7500 0.2500 0.2500
Co 0.7500 0.7500 0.7500

Entry from OQMD via LeMat-Bulk: a geometry-optimized Gd7Te2Pt2 structure (PBE).

V: 308.0 Å³/cell
Total magnetic moment: 0.01 Bohr magnetons per cell
Energy: -62.10 eV/f.u.

Cell lengths 9.5519, 9.5519, 9.5519 Å; angles 155.99, 66.60, 118.93 degrees
Fractional coordinates of all 11 atoms:
Gd 0.0000 0.0000 0.0000
Gd 0.2880 0.4168 0.8712
Gd 0.3051 0.6228 0.6823
Gd 0.5456 0.4168 0.1288
Gd 0.6218 0.2656 0.3562
Gd 0.9094 0.2656 0.6438
Gd 0.9404 0.6228 0.3177
Te 0.2626 0.7626 0.5000
Te 0.6642 0.6642 0.0000
Pt 0.1631 0.9254 0.2377
Pt 0.6877 0.9254 0.7623

Entry from OQMD via LeMat-Bulk: a geometry-optimized Dy2Si structure (PBE).

V: 475.4 Å³/cell
Total magnetic moment: 0.09 Bohr magnetons per cell
Energy: -11.19 eV/f.u.

Cell lengths 8.7605, 8.7605, 8.7605 Å; angles 60.00, 60.00, 60.00 degrees
Fractional coordinates of all 6 atoms:
Dy 0.0000 0.0000 0.0000
Dy 0.0000 0.0000 0.5000
Dy 0.0000 0.5000 0.0000
Dy 0.5000 0.0000 0.0000
Si 0.1250 0.1250 0.1250
Si 0.8750 0.8750 0.8750

Entry from OQMD via LeMat-Bulk: a geometry-optimized NbCoNiSb structure (PBE).

V: 233.9 Å³/cell
Total magnetic moment: 0.01 Bohr magnetons per cell
Offset from the most stable computed form: 0 meV per atom

Cell lengths 6.1610, 6.1610, 6.1610 Å; angles 90.00, 90.00, 90.00 degrees
Fractional coordinates of all 16 atoms:
Nb 0.0000 0.0000 0.0000
Nb 0.0000 0.5000 0.5000
Nb 0.5000 0.0000 0.5000
Nb 0.5000 0.5000 0.0000
Co 0.2500 0.2500 0.7500
Co 0.2500 0.7500 0.2500
Co 0.7500 0.2500 0.2500
Co 0.7500 0.7500 0.7500
Ni 0.2500 0.2500 0.2500
Ni 0.2500 0.7500 0.7500
Ni 0.7500 0.2500 0.7500
Ni 0.7500 0.7500 0.2500
Sb 0.0000 0.0000 0.5000
Sb 0.0000 0.5000 0.0000
Sb 0.5000 0.0000 0.0000
Sb 0.5000 0.5000 0.5000

Entry from OQMD via LeMat-Bulk: a geometry-optimized TmZrAsO structure (PBE).

V: 157.2 Å³/cell
Total magnetic moment: 0.01 Bohr magnetons per cell
Offset from the most stable computed form: 197 meV per atom

Cell lengths 4.1427, 7.4993, 5.0616 Å; angles 90.00, 90.00, 90.00 degrees
Fractional coordinates of all 8 atoms:
Tm 0.0000 0.1435 0.0000
Tm 0.0000 0.8565 0.5000
Zr 0.5000 0.2397 0.5007
Zr 0.5000 0.7603 0.0007
As 0.5000 0.3879 0.0010
As 0.5000 0.6121 0.5010
O 0.0000 0.1562 0.5011
O 0.0000 0.8438 0.0011

Entry from OQMD via LeMat-Bulk: a geometry-optimized SmGa6 structure (PBE).

V: 278.7 Å³/cell
Total magnetic moment: 0.00 Bohr magnetons per cell
Energy: -25.30 eV/f.u.

Cell lengths 6.0339, 6.0339, 7.6545 Å; angles 90.00, 90.00, 90.00 degrees
Fractional coordinates of all 14 atoms:
Sm 0.2500 0.7500 0.0000
Sm 0.7500 0.2500 0.0000
Ga 0.0568 0.5568 0.3474
Ga 0.0568 0.9432 0.6526
Ga 0.2500 0.2500 0.1600
Ga 0.2500 0.2500 0.8400
Ga 0.4432 0.5568 0.6526
Ga 0.4432 0.9432 0.3474
Ga 0.5568 0.0568 0.6526
Ga 0.5568 0.4432 0.3474
Ga 0.7500 0.7500 0.1600
Ga 0.7500 0.7500 0.8400
Ga 0.9432 0.0568 0.3474
Ga 0.9432 0.4432 0.6526

Entry from OQMD via LeMat-Bulk: a geometry-optimized Au4I3Br structure (PBE).

V: 500.7 Å³/cell
Energy: -19.82 eV/f.u.

Cell lengths 6.1532, 6.2109, 13.1025 Å; angles 90.00, 90.00, 90.00 degrees
Fractional coordinates of all 16 atoms:
Au 0.0000 0.2447 0.0000
Au 0.0000 0.7553 0.0000
Au 0.2494 0.5000 0.4933
Au 0.2506 0.0000 0.4933
Au 0.5000 0.2553 0.0000
Au 0.5000 0.7447 0.0000
Au 0.7494 0.0000 0.4933
Au 0.7506 0.5000 0.4933
I 0.0000 0.0000 0.6563
I 0.0000 0.5000 0.3300
I 0.0000 0.5000 0.8418
I 0.5000 0.0000 0.3300
I 0.5000 0.0000 0.8418
I 0.5000 0.5000 0.6563
Br 0.0000 0.0000 0.1519
Br 0.5000 0.5000 0.1519

Entry from OQMD via LeMat-Bulk: a geometry-optimized PmThN2 structure (PBE).

V: 269.5 Å³/cell
Total magnetic moment: 0.00 Bohr magnetons per cell
Energy: -35.01 eV/f.u.

Cell lengths 5.1221, 5.1221, 10.2722 Å; angles 90.00, 90.00, 90.00 degrees
Fractional coordinates of all 16 atoms:
Pm 0.0000 0.2500 0.3750
Pm 0.0000 0.7500 0.6250
Pm 0.5000 0.2500 0.1250
Pm 0.5000 0.7500 0.8750
Th 0.0000 0.2500 0.8750
Th 0.0000 0.7500 0.1250
Th 0.5000 0.2500 0.6250
Th 0.5000 0.7500 0.3750
N 0.0000 0.2500 0.1187
N 0.0000 0.2500 0.6313
N 0.0000 0.7500 0.3687
N 0.0000 0.7500 0.8813
N 0.5000 0.2500 0.3813
N 0.5000 0.2500 0.8687
N 0.5000 0.7500 0.1313
N 0.5000 0.7500 0.6187

Entry from OQMD via LeMat-Bulk: a geometry-optimized UInAg structure (PBE).

V: 314.6 Å³/cell
Total magnetic moment: 8.48 Bohr magnetons per cell
Energy: -15.50 eV/f.u.

Cell lengths 6.8012, 6.8012, 6.8012 Å; angles 90.00, 90.00, 90.00 degrees
Fractional coordinates of all 12 atoms:
U 0.0000 0.0000 0.0000
U 0.0000 0.5000 0.5000
U 0.5000 0.0000 0.5000
U 0.5000 0.5000 0.0000
In 0.0000 0.0000 0.5000
In 0.0000 0.5000 0.0000
In 0.5000 0.0000 0.0000
In 0.5000 0.5000 0.5000
Ag 0.2500 0.2500 0.7500
Ag 0.2500 0.7500 0.2500
Ag 0.7500 0.2500 0.2500
Ag 0.7500 0.7500 0.7500

Entry from OQMD via LeMat-Bulk: a geometry-optimized PrBiPd structure (PBE).

V: 372.5 Å³/cell
Total magnetic moment: 0.00 Bohr magnetons per cell
Energy: -14.69 eV/f.u.

Cell lengths 7.1950, 7.1950, 7.1950 Å; angles 90.00, 90.00, 90.00 degrees
Fractional coordinates of all 12 atoms:
Pr 0.0000 0.0000 0.0000
Pr 0.0000 0.5000 0.5000
Pr 0.5000 0.0000 0.5000
Pr 0.5000 0.5000 0.0000
Bi 0.2500 0.2500 0.7500
Bi 0.2500 0.7500 0.2500
Bi 0.7500 0.2500 0.2500
Bi 0.7500 0.7500 0.7500
Pd 0.2500 0.2500 0.2500
Pd 0.2500 0.7500 0.7500
Pd 0.7500 0.2500 0.7500
Pd 0.7500 0.7500 0.2500

Entry from OQMD via LeMat-Bulk: a geometry-optimized NdBePO structure (PBE).

V: 146.4 Å³/cell
Total magnetic moment: 0.01 Bohr magnetons per cell
Offset from the most stable computed form: 1493 meV per atom

Cell lengths 4.0272, 4.0272, 9.0271 Å; angles 90.00, 90.00, 90.00 degrees
Fractional coordinates of all 8 atoms:
Nd 0.2500 0.7500 0.0000
Nd 0.7500 0.2500 0.0000
Be 0.2500 0.2500 0.4847
Be 0.7500 0.7500 0.5153
P 0.2500 0.2500 0.2113
P 0.7500 0.7500 0.7887
O 0.2500 0.7500 0.5000
O 0.7500 0.2500 0.5000

Entry from OQMD via LeMat-Bulk: a geometry-optimized MgPaTc structure (PBE).

V: 263.2 Å³/cell
Total magnetic moment: 0.01 Bohr magnetons per cell
Offset from the most stable computed form: 0 meV per atom

Cell lengths 6.4084, 6.4084, 6.4084 Å; angles 90.00, 90.00, 90.00 degrees
Fractional coordinates of all 12 atoms:
Mg 0.0000 0.0000 0.0000
Mg 0.0000 0.5000 0.5000
Mg 0.5000 0.0000 0.5000
Mg 0.5000 0.5000 0.0000
Pa 0.2500 0.2500 0.7500
Pa 0.2500 0.7500 0.2500
Pa 0.7500 0.2500 0.2500
Pa 0.7500 0.7500 0.7500
Tc 0.2500 0.2500 0.2500
Tc 0.2500 0.7500 0.7500
Tc 0.7500 0.2500 0.7500
Tc 0.7500 0.7500 0.2500

Entry from OQMD via LeMat-Bulk: a geometry-optimized Ni7Sb2 structure (PBE).

V: 202.6 Å³/cell
Total magnetic moment: 3.29 Bohr magnetons per cell
Energy: -43.54 eV/f.u.

Cell lengths 2.8531, 2.8531, 28.7317 Å; angles 90.00, 90.00, 120.00 degrees
Fractional coordinates of all 9 atoms:
Ni 0.0000 0.0000 0.0000
Ni 0.0000 0.0000 0.1921
Ni 0.0000 0.0000 0.8079
Ni 0.3333 0.6667 0.1277
Ni 0.3333 0.6667 0.9358
Ni 0.6667 0.3333 0.0642
Ni 0.6667 0.3333 0.8723
Sb 0.3333 0.6667 0.7373
Sb 0.6667 0.3333 0.2627

Entry from OQMD via LeMat-Bulk: a geometry-optimized K2ZrTaO6 structure (PBE).

V: 275.6 Å³/cell
Total magnetic moment: 2.01 Bohr magnetons per cell
Offset from the most stable computed form: 0 meV per atom

Cell lengths 5.7946, 5.7981, 8.2018 Å; angles 90.01, 90.01, 90.02 degrees
Fractional coordinates of all 20 atoms:
K 0.9998 0.9996 0.2500
K 0.0002 0.0004 0.7500
K 0.4999 0.4999 0.2499
K 0.5001 0.5001 0.7501
Zr 0.0000 0.5000 0.0000
Zr 0.5000 0.0000 0.5000
Ta 0.0000 0.5000 0.5000
Ta 0.5000 0.0000 0.0000
O 0.0007 0.4998 0.2570
O 0.2391 0.2535 0.5002
O 0.2477 0.7393 0.5007
O 0.2545 0.7593 0.9993
O 0.2590 0.2451 0.9996
O 0.4989 0.9999 0.2430
O 0.5011 0.0001 0.7570
O 0.7410 0.7549 0.0004
O 0.7455 0.2407 0.0007
O 0.7523 0.2607 0.4993
O 0.7609 0.7465 0.4998
O 0.9993 0.5002 0.7430

Entry from OQMD via LeMat-Bulk: a geometry-optimized AgSe structure (PBE).

V: 40.7 Å³/cell
Energy: -5.98 eV/f.u.

Cell lengths 3.4325, 3.4325, 3.9909 Å; angles 90.00, 90.00, 120.00 degrees
Fractional coordinates of all 2 atoms:
Ag 0.0000 0.0000 0.0000
Se 0.6667 0.3333 0.5000